## La4SiPtBr2 (PBE)

Data for an optimized crystal structure of La4SiPtBr2.

Results
Calculated volume ... 30.4 A^3/atom
Electronic total energy ... -5.52 eV/atom
Crystal system ... monoclinic
DOS(E_F) ... 0.95 states/eV per atom

a b c (Å): 4.2459 7.7748 7.7502
angles (deg): 108.02 90.00 90.00
Positions (direct):
Pt 0.5000 0.5000 0.0000
Si 0.0000 0.0000 0.0000
Br 0.0000 0.5000 0.5000
La 0.0000 0.2713 0.7929
La 0.5000 0.2369 0.2214
La 0.5000 0.7631 0.7786
La 0.0000 0.7287 0.2071
Br 0.5000 0.0000 0.5000

---

## CaMgSi2 (PBE)

Data for an optimized crystal structure of CaMgSi2.

Results
Calculated volume ... 19.6 A^3/atom
Electronic total energy ... -3.72 eV/atom
Crystal system ... tetragonal
DOS(E_F) ... 0.21 states/eV per atom

a b c (Å): 4.3345 4.3369 4.1668
angles (deg): 90.00 90.00 90.00
Positions (direct):
Ca 0.5000 0.0000 0.5000
Mg 0.0000 0.5000 0.5000
Si 0.0000 0.0000 0.0000
Si 0.5000 0.5000 0.0000

---

## KOsI2O (PBE)

Data for an optimized crystal structure of KOsI2O.

Results
Calculated volume ... 25.9 A^3/atom
Crystal system ... tetragonal
Energy above the most stable polymorph in this dataset ... 0 meV per atom
DOS(E_F) ... 0.65 states/eV per atom

a b c (Å): 5.8380 5.8380 3.8021
angles (deg): 90.00 90.00 90.00
Last column: magnetic moment on the atom in μB.
Positions (direct):
I 0.5000 0.0000 0.0000  0.01
I 0.0000 0.5000 0.0000  0.01
Os 0.0000 0.0000 0.0000  0.26
K 0.5000 0.5000 0.5000  0.00
O 0.0000 0.0000 0.5000  0.04

---

## Tb6ThTl (PBE)

Data for an optimized crystal structure of Tb6ThTl.

Results
Calculated volume ... 30.5 A^3/atom
Electronic total energy ... -4.75 eV/atom
Crystal system ... tetragonal
DOS(E_F) ... 1.52 states/eV per atom

a b c (Å): 4.9316 4.9316 10.0258
angles (deg): 90.00 90.00 90.00
Positions (direct):
Tb 0.5000 0.0000 0.2476
Tb 0.5000 0.5000 0.5000
Th 0.0000 0.0000 0.5000
Tb 0.5000 0.5000 0.0000
Tb 0.5000 0.0000 0.7524
Tl 0.0000 0.0000 0.0000
Tb 0.0000 0.5000 0.7524
Tb 0.0000 0.5000 0.2476

---

| no. | magnetization (μB per atom) |
| --- | --- |
| 1 | 0.00 |
| 2 | 0.00 |
| 3 | 0.07 |
| 4 | 0.00 |